The following is a DFT calculation (PBE-GGA) of a relaxed structure of PmNd4Sm6.

- DOS(E_F): 16.24 states/eV per cell
- Formation enthalpy at 0 K: 0.15 eV per atom
- E: -50.45 eV/f.u.
- E above lowest polymorph: 0.000 eV per atom

extended XYZ file:
```
11
Lattice="11.1035 0.0000 0.0000 -5.5518 9.6159 0.0000 0.0000 0.0000 3.6369" Properties=species:S:1:pos:R:3 pbc="T T T"
Pm 0.0000 0.0000 0.0000
Nd 2.6706 1.5419 1.8185
Nd 0.0000 6.4106 0.0000
Nd 8.4329 1.5419 1.8185
Nd 5.5517 6.5322 1.8185
Sm 0.0000 3.5404 1.8185
Sm -2.4857 7.8457 1.8185
Sm 5.5517 0.4969 0.0000
Sm 3.2062 4.5595 0.0000
Sm 2.4857 7.8457 1.8185
Sm 7.8973 4.5595 0.0000
```